Here is a geometry-optimized La4YIn2 structure from Alexandria via LeMat-Bulk. Energies are from PBE.

a b c (Å): 6.230 6.230 7.246
angles (deg): 104.60 104.60 112.12
Element x y z (fractional)
1 La 0.000 0.500 0.500
2 La 0.238 0.762 0.000
3 La 0.500 0.000 0.500
4 La 0.762 0.238 0.000
5 Y 0.000 0.000 0.500
6 In 0.387 0.387 0.257
7 In 0.613 0.613 0.743

Computed properties:
**Mass density**: 6.24 Mg/m³
**SG**: No. 12
**Total energy**: -4.538 eV/atom
**Energy relative to the elements**: -0.02 eV per atom
**Fermi-level density of states**: 1.334 states/eV/atom

=====

Here is a geometry-optimized La5Y2In4 structure from Alexandria via LeMat-Bulk. Energies are from PBE.

a b c (Å): 8.976 3.444 10.965
angles (deg): 90.00 95.30 90.00
Element x y z (fractional)
1 La 0.000 0.000 0.000
2 La 0.040 0.000 0.338
3 La 0.344 0.000 0.862
4 La 0.656 0.000 0.138
5 La 0.960 0.000 0.662
6 Y 0.423 0.000 0.362
7 Y 0.577 0.000 0.638
8 In 0.261 0.500 0.575
9 In 0.301 0.500 0.129
10 In 0.699 0.500 0.871
11 In 0.739 0.500 0.425

Computed properties:
**Mass density**: 6.55 Mg/m³
**SG**: No. 10
**Total energy**: -4.741 eV/atom
**Energy relative to the elements**: -0.33 eV per atom
**Fermi-level density of states**: 1.275 states/eV/atom

=====

Here is a geometry-optimized LaY2In structure from Alexandria via LeMat-Bulk. Energies are from PBE.

a b c (Å): 3.714 4.772 6.949
angles (deg): 90.00 90.00 90.00
Element x y z (fractional)
1 La 0.000 0.000 0.000
2 Y 0.000 0.000 0.523
3 Y 0.500 0.500 0.268
4 In 0.500 0.500 0.751

Computed properties:
**Mass density**: 5.82 Mg/m³
**SG**: No. 25
**Total energy**: -5.368 eV/atom
**Energy relative to the elements**: -0.22 eV per atom
**Fermi-level density of states**: 1.467 states/eV/atom

=====

Here is a geometry-optimized LaY2In structure from Alexandria via LeMat-Bulk. Energies are from PBE.

a b c (Å): 7.101 7.101 7.101
angles (deg): 103.02 103.02 123.33
Element x y z (fractional)
1 La 0.000 0.000 0.000
2 La 0.750 0.250 0.500
3 Y 0.158 0.125 0.533
4 Y 0.375 0.842 0.967
5 Y 0.592 0.625 0.467
6 Y 0.875 0.408 0.033
7 In 0.250 0.750 0.500
8 In 0.500 0.500 0.000

Computed properties:
**Mass density**: 5.44 Mg/m³
**SG**: No. 122
**Total energy**: -5.109 eV/atom
**Energy relative to the elements**: 0.04 eV per atom
**Fermi-level density of states**: 0.743 states/eV/atom

=====

Here is a geometry-optimized La2YIn structure from Alexandria via LeMat-Bulk. Energies are from PBE.

a b c (Å): 6.586 6.586 6.097
angles (deg): 114.83 114.83 32.62
Element x y z (fractional)
1 La 0.000 0.000 0.000
2 La 0.220 0.220 0.844
3 Y 0.452 0.452 0.454
4 In 0.728 0.728 0.385

Computed properties:
**Mass density**: 6.24 Mg/m³
**SG**: No. 8
**Total energy**: -5.017 eV/atom
**Energy relative to the elements**: -0.25 eV per atom
**Fermi-level density of states**: 1.362 states/eV/atom

=====

Here is a geometry-optimized LaY3In structure from Alexandria via LeMat-Bulk. Energies are from PBE.

a b c (Å): 5.597 5.597 5.597
angles (deg): 90.00 90.00 90.00
Element x y z (fractional)
1 La 0.000 0.000 0.000
2 Y 0.000 0.000 0.500
3 Y 0.000 0.500 0.000
4 Y 0.500 0.000 0.000
5 In 0.500 0.500 0.500

Computed properties:
**Mass density**: 4.93 Mg/m³
**SG**: No. 221
**Energy above the most stable polymorph in this dataset**: 4.21 eV/f.u.
**Total energy**: -4.675 eV/atom
**Energy relative to the elements**: 0.74 eV per atom
**Fermi-level density of states**: 1.397 states/eV/atom

=====

Here is a geometry-optimized LaY2In structure from Alexandria via LeMat-Bulk. Energies are from PBE.

a b c (Å): 6.592 6.592 3.466
angles (deg): 101.84 101.84 117.02
Element x y z (fractional)
1 La 0.000 0.000 0.000
2 Y 0.000 0.500 0.500
3 Y 0.500 0.000 0.500
4 In 0.500 0.500 0.000

Computed properties:
**Mass density**: 5.81 Mg/m³
**SG**: No. 12
**Total energy**: -5.266 eV/atom
**Energy relative to the elements**: -0.12 eV per atom
**Fermi-level density of states**: 1.460 states/eV/atom

=====

Here is a geometry-optimized La5YIn6 structure from Alexandria via LeMat-Bulk. Energies are from PBE.

a b c (Å): 9.617 9.617 5.548
angles (deg): 106.74 106.74 120.23
Element x y z (fractional)
1 La 0.000 0.000 0.000
2 La 0.163 0.837 0.500
3 La 0.325 0.675 0.000
4 La 0.675 0.325 0.000
5 La 0.837 0.163 0.500
6 Y 0.500 0.500 0.500
7 In 0.099 0.422 0.261
8 In 0.271 0.271 0.771
9 In 0.422 0.099 0.261
10 In 0.578 0.901 0.739
11 In 0.729 0.729 0.229
12 In 0.901 0.578 0.739

Computed properties:
**Mass density**: 6.76 Mg/m³
**SG**: No. 12
**Total energy**: -4.473 eV/atom
**Energy relative to the elements**: -0.51 eV per atom
**Fermi-level density of states**: 0.644 states/eV/atom